No. 1
An optimized crystal structure of GaAsSe2Cl. Source: Alexandria via LeMat-Bulk, functional PBE.

Structure (CIF):
```
data_GaAsSe2Cl
_chemical_formula_sum 'Ga1 As1 Se2 Cl1'
_symmetry_space_group_name_H-M 'P 1'
_symmetry_Int_Tables_number 1
_cell_length_a 5.234
_cell_length_b 5.234
_cell_length_c 4.917
_cell_angle_alpha 90.00
_cell_angle_beta 90.00
_cell_angle_gamma 90.00
loop_
_symmetry_equiv_pos_as_xyz
'x,y,z'
loop_
_atom_site_label
_atom_site_type_symbol
_atom_site_fract_x
_atom_site_fract_y
_atom_site_fract_z
_atom_site_occupancy
Ga1 Ga 0.500 0.500 0.500 1
Cl1 Cl 0.000 0.000 0.000 1
As1 As 0.000 0.000 0.500 1
Se1 Se 0.500 0.000 0.000 1
Se2 Se 0.000 0.500 0.000 1
```

- Density of states at the Fermi level: 3.6 states/eV/f.u.
- Total magnetic moment: 1.93 μB per cell
- ΔE_f (raw): 0.802 eV/atom
- Polymorph energy (0 for the lowest one): 313 meV/atom
- Energy: -12.48 eV per cell

=====

No. 2
An optimized crystal structure of CoAs. Source: Alexandria via LeMat-Bulk, functional PBE.

Structure (CIF):
```
data_CoAs
_chemical_formula_sum 'Co3 As3'
_symmetry_space_group_name_H-M 'P 1'
_symmetry_Int_Tables_number 1
_cell_length_a 5.377
_cell_length_b 5.377
_cell_length_c 5.773
_cell_angle_alpha 87.53
_cell_angle_beta 87.53
_cell_angle_gamma 31.21
loop_
_symmetry_equiv_pos_as_xyz
'x,y,z'
loop_
_atom_site_label
_atom_site_type_symbol
_atom_site_fract_x
_atom_site_fract_y
_atom_site_fract_z
_atom_site_occupancy
Co1 Co 0.719 0.719 0.055 1
Co2 Co 0.093 0.093 0.370 1
Co3 Co 0.996 0.996 0.973 1
As1 As 0.399 0.399 0.285 1
As2 As 0.345 0.345 0.794 1
As3 As 0.615 0.615 0.690 1
```

- Density of states at the Fermi level: 2.0 states/eV/f.u.
- Calculated formation energy: 10 kJ per mole of atoms
- Total magnetic moment: 2.17 μB per cell
- Energy: -34.61 eV per cell

=====

No. 3
An optimized crystal structure of Ni2Ge2As. Source: Alexandria via LeMat-Bulk, functional PBE.

Structure (CIF):
```
data_Ni2Ge2As
_chemical_formula_sum 'Ni4 Ge4 As2'
_symmetry_space_group_name_H-M 'P 1'
_symmetry_Int_Tables_number 1
_cell_length_a 7.094
_cell_length_b 7.094
_cell_length_c 2.902
_cell_angle_alpha 90.00
_cell_angle_beta 90.00
_cell_angle_gamma 90.00
loop_
_symmetry_equiv_pos_as_xyz
'x,y,z'
loop_
_atom_site_label
_atom_site_type_symbol
_atom_site_fract_x
_atom_site_fract_y
_atom_site_fract_z
_atom_site_occupancy
Ni1 Ni 0.636 0.136 0.000 1
Ni2 Ni 0.864 0.636 0.000 1
Ni3 Ni 0.364 0.864 0.000 1
Ni4 Ni 0.136 0.364 0.000 1
As1 As 0.500 0.500 0.000 1
As2 As 0.000 0.000 0.000 1
Ge1 Ge 0.344 0.156 0.500 1
Ge2 Ge 0.156 0.656 0.500 1
Ge3 Ge 0.844 0.344 0.500 1
Ge4 Ge 0.656 0.844 0.500 1
```

- Density of states at the Fermi level: 2.6 states/eV/f.u.
- Calculated formation energy: 0 kJ per mole of atoms
- Total magnetic moment: 0.00 μB per cell
- Polymorph energy (0 for the lowest one): 0 meV/atom
- Energy: -50.94 eV per cell